No. 1
Entry from Alexandria via LeMat-Bulk: a relaxed SrMgOs2 crystal (PBE).

- energy of formation from the pure elements (eV per atom) = 0.373
- VASP energy (eV/cell) = -24.24
- DOS(E_F) (states/eV/cell) = 3.704

Cell: 2.911 3.739 7.901 Å, 90.00 90.00 90.00°
Fractional coordinates of all 4 atoms:
1 Sr 0.000 0.000 0.000
2 Mg 0.500 0.500 0.352
3 Os 0.000 0.000 0.578
4 Os 0.500 0.500 0.704

---

No. 2
Entry from Alexandria via LeMat-Bulk: a relaxed SrMg2TeOs crystal (PBE).

- VASP energy (eV/cell) = -19.10
- energy relative to the elements, uncorrected (kJ/mol of atoms) = 2.8
- DOS(E_F) (states/eV/cell) = 3.762

Cell: 5.065 5.065 5.269 Å, 90.00 90.00 90.00°
Fractional coordinates of all 5 atoms:
1 Sr 0.000 0.000 0.000
2 Mg 0.000 0.500 0.500
3 Mg 0.500 0.000 0.500
4 Te 0.500 0.500 0.000
5 Os 0.500 0.500 0.500

---

No. 3
Entry from Alexandria via LeMat-Bulk: a relaxed SrY2MgOs crystal (PBE).

- energy of formation from the pure elements (eV per atom) = 0.011
- VASP energy (eV/cell) = -27.38
- DOS(E_F) (states/eV/cell) = 3.354

Cell: 5.397 5.397 5.406 Å, 90.00 90.00 90.00°
Fractional coordinates of all 5 atoms:
1 Sr 0.000 0.000 0.000
2 Y 0.000 0.500 0.500
3 Y 0.500 0.000 0.500
4 Mg 0.500 0.500 0.000
5 Os 0.500 0.500 0.500

---

no.,total magnetization (μB per cell)
1,0.0
2,0.0
3,0.0